[1]
This record from the Alexandria database describes a relaxed U2Fe6C crystal. The functional is PBE.

Summary:
Calculated formation energy: -158 meV per atom

a = 7.6444 Å, b = 7.6444 Å, c = 7.6444 Å
α = 90.00°, β = 90.00°, γ = 90.00°
With the nearest neighbours (Å) after each atom.
Space group Fm-3m (No. 225)
Symmetry-distinct sites (fractional):
U  0.2500  0.2500  0.2500  12 Fe 2.70
Fe  0.0000  0.0000  0.2475  1 C 1.93
C  0.0000  0.0000  0.5000  6 Fe 1.93



[2]
This record from the Alexandria database describes a relaxed U2FeC crystal. The functional is PBE.

Summary:
Calculated formation energy: 55 meV per atom

a = 2.9339 Å, b = 8.2497 Å, c = 4.7987 Å
α = 90.00°, β = 90.10°, γ = 90.00°
With the nearest neighbours (Å) after each atom.
Space group P2_1/m (No. 11)
Symmetry-distinct sites (fractional):
U  0.2490  0.0547  0.2446  3 C 2.56-2.75, 1 Fe 2.78
Fe  0.2505  0.2500  0.7726  2 C 1.89
C  0.2502  0.7500  0.4750  2 Fe 1.89



[3]
This record from the Alexandria database describes a relaxed UFeC crystal. The functional is PBE.

Summary:
Calculated formation energy: 635 meV per atom

a = 3.2736 Å, b = 3.4184 Å, c = 9.7973 Å
α = 85.90°, β = 80.74°, γ = 62.47°
With the nearest neighbours (Å) after each atom.
Space group P-1 (No. 2)
Symmetry-distinct sites (fractional):
U  0.1451  0.3326  0.3761  3 C 2.24-2.25
Fe  0.3693  0.3209  0.9282  1 C 1.84
C  0.4710  0.3162  0.7380  1 Fe 1.84



[4]
This record from the Alexandria database describes a relaxed U3Fe2C3 crystal. The functional is PBE.

Summary:
Calculated formation energy: 37 meV per atom

a = 3.3140 Å, b = 10.7761 Å, c = 11.5630 Å
α = 90.00°, β = 90.00°, γ = 90.00°
With the nearest neighbours (Å) after each atom.
Space group Cmcm (No. 63)
Symmetry-distinct sites (fractional):
U  0.0000  0.0402  0.1016  1 U 2.50, 6 C 2.54-2.61
U  0.0000  0.3178  0.2500  4 C 2.47-2.55, 4 Fe 2.59
Fe  0.0000  0.2404  0.5868  3 C 2.03-2.10
C  0.0000  0.3619  0.7500  2 Fe 2.30, 2 U 2.55
C  0.0000  0.3686  0.0417  3 Fe 2.03-2.10



[5]
This record from the Alexandria database describes a relaxed UFeC crystal. The functional is PBE.

Summary:
Calculated formation energy: 97 meV per atom

a = 3.7757 Å, b = 3.7614 Å, c = 5.2448 Å
α = 90.00°, β = 98.91°, γ = 90.00°
With the nearest neighbours (Å) after each atom.
Space group P2_1/m (No. 11)
Symmetry-distinct sites (fractional):
U  0.1829  0.2500  0.1582  4 C 2.54-2.61, 4 Fe 2.56-2.83, 2 U 2.74
Fe  0.2803  0.2500  0.6517  4 C 2.02-2.06
C  0.2535  0.7500  0.5071  4 Fe 2.02-2.06



[6]
This record from the Alexandria database describes a relaxed U2FeC crystal. The functional is PBE.

Summary:
Calculated formation energy: 156 meV per atom

a = 2.8901 Å, b = 2.8901 Å, c = 6.8536 Å
α = 90.00°, β = 90.00°, γ = 90.00°
With the nearest neighbours (Å) after each atom.
Space group P4/mmm (No. 123)
Symmetry-distinct sites (fractional):
U  0.0000  0.0000  0.2182  4 C 2.53, 4 Fe 2.81
Fe  0.5000  0.5000  0.5000  8 U 2.81, 4 Fe 2.89
C  0.5000  0.5000  0.0000  8 U 2.53